BeSN2F (PBE-GGA, relaxed); crystal system = tetragonal; N(E_F) = 0.3125 states/eV/atom; volume = 85.01 Å³ per cell; energy relative to the lowest polymorph listed for this composition = 1398 meV/atom; magnetic moment = 3.70 Bohr magnetons per cell; electronic total energy = -3.11 eV/atom; E_form (uncorrected) = 10.827 eV/f.u.
1.0
3.529 0.000 0.000
0.000 3.529 0.000
0.000 0.000 6.826
Be S N F
1 1 2 1
direct
0.000 0.000 0.000
0.500 0.500 0.000
0.000 0.500 0.500
0.500 0.000 0.500
0.500 0.500 0.500